(1)
This record from Alexandria describes crystalline VMoOs2 at its relaxed geometry. The functional is GGA-PBE.

excess energy over the best structure of this formula in the dataset: 161.1 meV per atom
space-group type: Fm-3m, No. 225
total magnetic moment: 0.00 μB/f.u.
ΔH_f (0 K): 0.099 eV per atom

abc: 4.3551 4.3551 4.3551
angles: 60.00 60.00 60.00
Atoms (fractional coordinates):
V  0.0000  0.0000  0.0000
Os  0.2500  0.2500  0.2500
Os  0.7500  0.7500  0.7500
Mo  0.5000  0.5000  0.5000

=====

(2)
This record from Alexandria describes crystalline Sr2IrAu at its relaxed geometry. The functional is GGA-PBE.

space-group type: R3m, No. 160
total magnetic moment: 0.00 μB/f.u.
ΔH_f (0 K): -0.303 eV per atom

abc: 8.1557 8.1557 8.1557
angles: 32.21 32.21 32.21
Atoms (fractional coordinates):
Sr  0.2092  0.2092  0.2092
Sr  0.0407  0.0407  0.0407
Ir  0.7918  0.7918  0.7918
Au  0.4582  0.4582  0.4582